A relaxed structure of RbCrSb2. Source: the Alexandria database, functional PBE.

Computed properties:
As for the density of states at the Fermi level: 5.0 states/eV per cell. The total energy comes out at -4.583 eV/atom. The total moment comes out at 2.00 Bohr magnetons per cell. The space group is I4_1/amd.

Cell lengths 8.609, 8.609, 8.609 Å; angles 134.13, 134.13, 66.89 degrees
Fractional positions:
Rb: 0.375 0.625 0.750
Rb: 0.625 0.375 0.250
Cr: 0.125 0.875 0.250
Cr: 0.875 0.125 0.750
Sb: 0.000 0.000 0.000
Sb: 0.000 0.000 0.500
Sb: 0.000 0.500 0.000
Sb: 0.500 0.000 0.500